(a)
Density functional theory data (PBE-GGA) for a geometry-optimized Tl3GaC structure.

The structure in CIF format:
```
data_Tl3GaC
_cell_length_a 5.046
_cell_length_b 5.046
_cell_length_c 5.046
_cell_angle_alpha 90.00
_cell_angle_beta 90.00
_cell_angle_gamma 90.00
_symmetry_space_group_name_H-M 'P m -3 m'
_symmetry_Int_Tables_number 221
_symmetry_space_group_name_Hall '-P 4 2 3'
loop_
_atom_site_label
_atom_site_type_symbol
_atom_site_fract_x
_atom_site_fract_y
_atom_site_fract_z
_atom_site_occupancy
Tl1 Tl 0.000 0.000 0.500 1
Ga1 Ga 0.500 0.500 0.500 1
C1 C 0.000 0.000 0.000 1
```

volume = 128.5 Å³/f.u.
density of states at the Fermi level = 2.9 states/eV per cell

(b)
Density functional theory data (PBE-GGA) for a geometry-optimized Tl3GaC structure.

The structure in CIF format:
```
data_Tl3GaC
_cell_length_a 5.497
_cell_length_b 5.497
_cell_length_c 5.497
_cell_angle_alpha 90.00
_cell_angle_beta 90.00
_cell_angle_gamma 90.00
_symmetry_space_group_name_H-M 'P m -3 m'
_symmetry_Int_Tables_number 221
_symmetry_space_group_name_Hall '-P 4 2 3'
loop_
_atom_site_label
_atom_site_type_symbol
_atom_site_fract_x
_atom_site_fract_y
_atom_site_fract_z
_atom_site_occupancy
Tl1 Tl 0.000 0.000 0.500 1
Ga1 Ga 0.000 0.000 0.000 1
C1 C 0.500 0.500 0.500 1
```

volume = 166.1 Å³/f.u.
density of states at the Fermi level = 2.4 states/eV per cell

Name the least stable of them. (b).

(a)
Density functional theory data (PBE-GGA) for a geometry-optimized Tm3GaC structure.

The structure in CIF format:
```
data_Tm3GaC
_cell_length_a 4.773
_cell_length_b 4.773
_cell_length_c 4.773
_cell_angle_alpha 90.00
_cell_angle_beta 90.00
_cell_angle_gamma 90.00
_symmetry_space_group_name_H-M 'P m -3 m'
_symmetry_Int_Tables_number 221
_symmetry_space_group_name_Hall '-P 4 2 3'
loop_
_atom_site_label
_atom_site_type_symbol
_atom_site_fract_x
_atom_site_fract_y
_atom_site_fract_z
_atom_site_occupancy
Tm1 Tm 0.000 0.000 0.500 1
Ga1 Ga 0.500 0.500 0.500 1
C1 C 0.000 0.000 0.000 1
```

volume = 108.7 Å³/f.u.
density of states at the Fermi level = 0.8 states/eV per cell

(b)
Density functional theory data (PBE-GGA) for a geometry-optimized Tm3GaC structure.

The structure in CIF format:
```
data_Tm3GaC
_cell_length_a 5.224
_cell_length_b 5.224
_cell_length_c 5.224
_cell_angle_alpha 90.00
_cell_angle_beta 90.00
_cell_angle_gamma 90.00
_symmetry_space_group_name_H-M 'P m -3 m'
_symmetry_Int_Tables_number 221
_symmetry_space_group_name_Hall '-P 4 2 3'
loop_
_atom_site_label
_atom_site_type_symbol
_atom_site_fract_x
_atom_site_fract_y
_atom_site_fract_z
_atom_site_occupancy
Tm1 Tm 0.000 0.000 0.500 1
Ga1 Ga 0.000 0.000 0.000 1
C1 C 0.500 0.500 0.500 1
```

volume = 142.6 Å³/f.u.
density of states at the Fermi level = 1.4 states/eV per cell

Name the least stable of them. (b).

(a)
Density functional theory data (PBE-GGA) for a geometry-optimized VGa3C structure.

The structure in CIF format:
```
data_VGa3C
_cell_length_a 4.916
_cell_length_b 4.916
_cell_length_c 4.916
_cell_angle_alpha 90.00
_cell_angle_beta 90.00
_cell_angle_gamma 90.00
_symmetry_space_group_name_H-M 'P m -3 m'
_symmetry_Int_Tables_number 221
_symmetry_space_group_name_Hall '-P 4 2 3'
loop_
_atom_site_label
_atom_site_type_symbol
_atom_site_fract_x
_atom_site_fract_y
_atom_site_fract_z
_atom_site_occupancy
V1 V 0.000 0.000 0.000 1
Ga1 Ga 0.000 0.000 0.500 1
C1 C 0.500 0.500 0.500 1
```

volume = 118.8 Å³/f.u.
density of states at the Fermi level = 1.4 states/eV per cell

(b)
Density functional theory data (PBE-GGA) for a geometry-optimized VGa3C structure.

The structure in CIF format:
```
data_VGa3C
_cell_length_a 4.296
_cell_length_b 4.296
_cell_length_c 4.296
_cell_angle_alpha 90.00
_cell_angle_beta 90.00
_cell_angle_gamma 90.00
_symmetry_space_group_name_H-M 'P m -3 m'
_symmetry_Int_Tables_number 221
_symmetry_space_group_name_Hall '-P 4 2 3'
loop_
_atom_site_label
_atom_site_type_symbol
_atom_site_fract_x
_atom_site_fract_y
_atom_site_fract_z
_atom_site_occupancy
V1 V 0.000 0.000 0.000 1
Ga1 Ga 0.000 0.500 0.500 1
C1 C 0.500 0.500 0.500 1
```

volume = 79.3 Å³/f.u.
density of states at the Fermi level = 3.5 states/eV per cell

Name the least stable of them. (a).

(a)
Density functional theory data (PBE-GGA) for a geometry-optimized GaW2C structure.

The structure in CIF format:
```
data_GaW2C
_cell_length_a 3.0264
_cell_length_b 3.0264
_cell_length_c 20.3163
_cell_angle_alpha 90.00
_cell_angle_beta 90.00
_cell_angle_gamma 120.00
_symmetry_space_group_name_H-M 'R 3 m'
_symmetry_Int_Tables_number 160
_symmetry_space_group_name_Hall 'R 3 -2"'
loop_
_atom_site_label
_atom_site_type_symbol
_atom_site_fract_x
_atom_site_fract_y
_atom_site_fract_z
_atom_site_occupancy
Ga1 Ga 0.0000 0.0000 0.0000 1
W1 W 0.0000 0.0000 0.5613 1
W2 W 0.0000 0.0000 0.7733 1
C1 C 0.0000 0.0000 0.1671 1
```

volume = 53.7 Å³/f.u.
density of states at the Fermi level = 6.9 states/eV per cell

(b)
Density functional theory data (PBE-GGA) for a geometry-optimized GaW2C structure.

The structure in CIF format:
```
data_GaW2C
_cell_length_a 2.9970
_cell_length_b 2.9970
_cell_length_c 21.0386
_cell_angle_alpha 90.00
_cell_angle_beta 90.00
_cell_angle_gamma 120.00
_symmetry_space_group_name_H-M 'R -3 m'
_symmetry_Int_Tables_number 166
_symmetry_space_group_name_Hall '-R 3 2"'
loop_
_atom_site_label
_atom_site_type_symbol
_atom_site_fract_x
_atom_site_fract_y
_atom_site_fract_z
_atom_site_occupancy
Ga1 Ga 0.0000 0.0000 0.0000 1
W1 W 0.0000 0.0000 0.2256 1
C1 C 0.0000 0.0000 0.5000 1
```

volume = 54.6 Å³/f.u.
density of states at the Fermi level = 11.4 states/eV per cell

Name the least stable of them. (b).

(a)
Density functional theory data (PBE-GGA) for a geometry-optimized YGa2C2 structure.

The structure in CIF format:
```
data_YGa2C2
_cell_length_a 3.558
_cell_length_b 3.558
_cell_length_c 10.922
_cell_angle_alpha 90.00
_cell_angle_beta 90.00
_cell_angle_gamma 90.00
_symmetry_space_group_name_H-M 'I 4/m m m'
_symmetry_Int_Tables_number 139
_symmetry_space_group_name_Hall '-I 4 2'
loop_
_atom_site_label
_atom_site_type_symbol
_atom_site_fract_x
_atom_site_fract_y
_atom_site_fract_z
_atom_site_occupancy
Y1 Y 0.000 0.000 0.000 1
Ga1 Ga 0.000 0.500 0.250 1
C1 C 0.000 0.000 0.361 1
```

volume = 69.1 Å³/f.u.
density of states at the Fermi level = 4.7 states/eV per cell

(b)
Density functional theory data (PBE-GGA) for a geometry-optimized YGa2C2 structure.

The structure in CIF format:
```
data_YGa2C2
_cell_length_a 6.581
_cell_length_b 6.581
_cell_length_c 3.187
_cell_angle_alpha 90.00
_cell_angle_beta 90.00
_cell_angle_gamma 90.00
_symmetry_space_group_name_H-M 'P 4/m b m'
_symmetry_Int_Tables_number 127
_symmetry_space_group_name_Hall '-P 4 2ab'
loop_
_atom_site_label
_atom_site_type_symbol
_atom_site_fract_x
_atom_site_fract_y
_atom_site_fract_z
_atom_site_occupancy
Y1 Y 0.000 0.000 0.000 1
Ga1 Ga 0.136 0.364 0.500 1
C1 C 0.151 0.651 0.000 1
```

volume = 69.0 Å³/f.u.
density of states at the Fermi level = 4.5 states/eV per cell

Name the least stable of them. (b).

(a)
Density functional theory data (PBE-GGA) for a geometry-optimized ZnGa3C structure.

The structure in CIF format:
```
data_ZnGa3C
_cell_length_a 4.786
_cell_length_b 4.786
_cell_length_c 4.786
_cell_angle_alpha 90.00
_cell_angle_beta 90.00
_cell_angle_gamma 90.00
_symmetry_space_group_name_H-M 'P m -3 m'
_symmetry_Int_Tables_number 221
_symmetry_space_group_name_Hall '-P 4 2 3'
loop_
_atom_site_label
_atom_site_type_symbol
_atom_site_fract_x
_atom_site_fract_y
_atom_site_fract_z
_atom_site_occupancy
Zn1 Zn 0.000 0.000 0.000 1
Ga1 Ga 0.000 0.000 0.500 1
C1 C 0.500 0.500 0.500 1
```

volume = 109.6 Å³/f.u.
density of states at the Fermi level = 2.8 states/eV per cell

(b)
Density functional theory data (PBE-GGA) for a geometry-optimized ZnGa3C structure.

The structure in CIF format:
```
data_ZnGa3C
_cell_length_a 4.355
_cell_length_b 4.355
_cell_length_c 4.355
_cell_angle_alpha 90.00
_cell_angle_beta 90.00
_cell_angle_gamma 90.00
_symmetry_space_group_name_H-M 'P m -3 m'
_symmetry_Int_Tables_number 221
_symmetry_space_group_name_Hall '-P 4 2 3'
loop_
_atom_site_label
_atom_site_type_symbol
_atom_site_fract_x
_atom_site_fract_y
_atom_site_fract_z
_atom_site_occupancy
Zn1 Zn 0.000 0.000 0.000 1
Ga1 Ga 0.000 0.500 0.500 1
C1 C 0.500 0.500 0.500 1
```

volume = 82.6 Å³/f.u.
density of states at the Fermi level = 4.5 states/eV per cell

Name the least stable of them. (a).